Zn3SeO | Alexandria | PBE-GGA | relaxed; total moment = 0.00 Bohr magnetons per cell; ΔE to the lowest computed polymorph = 862 meV per atom; total energy = -1.8120 eV/atom
1.0
4.912 0.000 0.000
0.000 4.912 0.000
0.000 0.000 4.912
Zn Se O
3 1 1
Direct
0.000 0.000 0.500
0.000 0.500 0.000
0.500 0.000 0.000
0.000 0.000 0.000
0.500 0.500 0.500

***

LaPr2Ag | Alexandria | PBE-GGA | relaxed; total moment = 7.53 Bohr magnetons per cell; E_form = 0.07 eV per atom; ΔE to the lowest computed polymorph = 181 meV per atom; total energy = -4.2620 eV/atom
1.0
7.815 0.000 0.000
0.000 7.815 0.000
0.000 0.000 7.815
La Pr Ag
4 8 4
Direct
0.000 0.000 0.000
0.000 0.500 0.500
0.500 0.000 0.500
0.500 0.500 0.000
0.250 0.250 0.250
0.250 0.250 0.750
0.250 0.750 0.250
0.250 0.750 0.750
0.750 0.250 0.250
0.750 0.250 0.750
0.750 0.750 0.250
0.750 0.750 0.750
0.000 0.000 0.500
0.000 0.500 0.000
0.500 0.000 0.000
0.500 0.500 0.500

***

Na3Cr2TeS6 | Alexandria | PBE-GGA | relaxed; total moment = 7.00 Bohr magnetons per cell; total energy = -4.9425 eV/atom
1.0
3.249 -5.627 0.000
3.249 5.627 0.000
-2.184 0.000 6.575
Na Cr Te S
3 2 1 6
Direct
0.000 0.000 0.000
0.338 0.662 0.000
0.662 0.338 0.000
0.168 0.832 0.500
0.832 0.168 0.500
0.500 0.500 0.500
0.078 0.430 0.293
0.216 0.216 0.706
0.430 0.078 0.293
0.570 0.922 0.707
0.784 0.784 0.294
0.922 0.570 0.707

***

HfScAu | Alexandria | PBE-GGA | relaxed; total moment = 0.00 Bohr magnetons per cell; E_form = -0.37 eV per atom; ΔE to the lowest computed polymorph = 107 meV per atom; total energy = -6.8923 eV/atom
1.0
0.000 4.439 5.234
2.737 0.000 5.234
2.737 4.439 0.000
Hf Sc Au
2 2 2
Direct
0.169 0.831 0.169
0.831 0.169 0.831
0.362 0.362 0.638
0.638 0.638 0.362
0.250 0.250 0.250
0.750 0.750 0.750

***

TlRu2O8 | Alexandria | PBE-GGA | relaxed; total moment = 0.95 Bohr magnetons per cell; ΔE to the lowest computed polymorph = 0 meV per atom; total energy = -6.2118 eV/atom
1.0
5.671 -2.876 0.000
5.671 2.876 0.000
-2.470 0.000 6.511
Tl Ru O
1 2 8
Direct
0.000 0.000 0.000
0.207 0.207 0.698
0.793 0.793 0.302
0.093 0.616 0.217
0.158 0.158 0.431
0.370 0.370 0.807
0.384 0.907 0.783
0.616 0.093 0.217
0.630 0.630 0.193
0.842 0.842 0.569
0.907 0.384 0.783

***

FeRu4 | Alexandria | PBE-GGA | relaxed; total moment = 2.24 Bohr magnetons per cell; E_form = 1.56 eV per atom; ΔE to the lowest computed polymorph = 1437 meV per atom; total energy = -7.5550 eV/atom
1.0
4.333 0.000 0.000
0.000 4.333 0.000
0.000 0.000 4.333
Fe Ru
1 4
Direct
0.000 0.000 0.000
0.000 0.000 0.500
0.000 0.500 0.000
0.500 0.000 0.000
0.500 0.500 0.500

***

ZrPI2N | Alexandria | PBE-GGA | relaxed; total moment = 0.00 Bohr magnetons per cell; ΔE to the lowest computed polymorph = 182 meV per atom; total energy = -4.5078 eV/atom
1.0
5.719 0.000 0.000
0.000 5.719 0.000
0.000 0.000 3.415
Zr P I N
1 1 2 1
Direct
0.000 0.000 0.000
0.500 0.500 0.500
0.000 0.500 0.500
0.500 0.000 0.500
0.500 0.500 0.000

***

Mg2Ni2Ag | Alexandria | PBE-GGA | relaxed; total moment = 0.00 Bohr magnetons per cell; E_form = 0.29 eV per atom; ΔE to the lowest computed polymorph = 378 meV per atom; total energy = -3.2258 eV/atom
1.0
3.994 0.000 0.000
0.000 3.994 0.000
0.000 0.000 10.730
Mg Ni Ag
4 4 2
Direct
0.000 0.500 0.250
0.000 0.500 0.750
0.500 0.000 0.250
0.500 0.000 0.750
0.000 0.000 0.104
0.000 0.000 0.896
0.500 0.500 0.396
0.500 0.500 0.604
0.000 0.000 0.500
0.500 0.500 0.000

***

Tm3ZnRu | Alexandria | PBE-GGA | relaxed; total moment = 0.00 Bohr magnetons per cell; E_form = -0.39 eV per atom; total energy = -5.1815 eV/atom
1.0
0.000 4.713 7.799
3.139 0.000 7.799
3.139 4.713 0.000
Tm Zn Ru
6 2 2
Direct
0.196 0.196 0.804
0.210 0.576 0.424
0.424 0.790 0.210
0.576 0.210 0.790
0.790 0.424 0.576
0.804 0.804 0.196
0.196 0.804 0.804
0.804 0.196 0.196
0.250 0.250 0.250
0.750 0.750 0.750

***

TlReSb2Te | Alexandria | PBE-GGA | relaxed; total moment = 0.00 Bohr magnetons per cell; ΔE to the lowest computed polymorph = 0 meV per atom; total energy = -4.7272 eV/atom
1.0
5.105 0.000 0.000
0.000 5.105 0.000
0.000 0.000 5.966
Tl Re Sb Te
1 1 2 1
Direct
0.000 0.000 0.000
0.500 0.500 0.500
0.000 0.500 0.500
0.500 0.000 0.500
0.500 0.500 0.000

***

LiCu4Ru | Alexandria | PBE-GGA | relaxed; total moment = 0.61 Bohr magnetons per cell; E_form = 0.22 eV per atom; total energy = -4.3797 eV/atom
1.0
0.000 3.387 3.387
3.387 0.000 3.387
3.387 3.387 0.000
Li Cu Ru
1 4 1
Direct
0.000 0.000 0.000
0.125 0.625 0.625
0.625 0.125 0.625
0.625 0.625 0.125
0.625 0.625 0.625
0.250 0.250 0.250

***

AgIrCl | Alexandria | PBE-GGA | relaxed; total moment = 0.00 Bohr magnetons per cell; ΔE to the lowest computed polymorph = 53 meV per atom; total energy = -4.3681 eV/atom
1.0
3.593 0.000 0.000
0.000 3.112 0.000
-1.722 0.000 10.709
Ag Ir Cl
2 2 2
Direct
0.000 0.000 0.000
0.429 0.500 0.852
0.304 0.500 0.591
0.854 0.000 0.696
0.222 0.000 0.420
0.560 0.500 0.126

***

MgInGe2 | Alexandria | PBE-GGA | relaxed; total moment = 0.00 Bohr magnetons per cell; E_form = 0.17 eV per atom; ΔE to the lowest computed polymorph = 96 meV per atom; total energy = -3.2264 eV/atom
1.0
7.784 0.000 0.000
0.000 7.784 0.000
0.000 0.000 5.887
Mg In Ge
4 4 8
Direct
0.000 0.000 0.000
0.000 0.500 0.250
0.500 0.000 0.750
0.500 0.500 0.500
0.000 0.000 0.500
0.000 0.500 0.750
0.500 0.000 0.250
0.500 0.500 0.000
0.240 0.250 0.625
0.250 0.740 0.875
0.250 0.760 0.375
0.260 0.250 0.125
0.740 0.750 0.125
0.750 0.240 0.375
0.750 0.260 0.875
0.760 0.750 0.625

***

AlCu | Alexandria | PBE-GGA | relaxed; total moment = 0.00 Bohr magnetons per cell; E_form = -0.14 eV per atom; total energy = -4.0591 eV/atom
1.0
4.686 0.000 0.000
0.000 5.046 0.000
0.000 0.000 9.308
Al Cu
8 8
Direct
0.158 0.178 0.064
0.165 0.513 0.805
0.335 0.487 0.305
0.342 0.822 0.564
0.658 0.322 0.936
0.665 0.987 0.195
0.835 0.013 0.695
0.842 0.678 0.436
0.178 0.002 0.322
0.185 0.314 0.559
0.315 0.686 0.059
0.322 0.998 0.822
0.678 0.498 0.678
0.685 0.186 0.441
0.815 0.814 0.941
0.822 0.502 0.178

***

CaCCl2 | Alexandria | PBE-GGA | relaxed; total moment = 8.00 Bohr magnetons per cell; ΔE to the lowest computed polymorph = 116 meV per atom; total energy = -3.5472 eV/atom
1.0
6.861 0.000 0.000
0.000 6.861 0.000
0.000 0.000 6.861
Ca C Cl
4 4 8
Direct
0.000 0.000 0.000
0.000 0.500 0.500
0.500 0.000 0.500
0.500 0.500 0.000
0.000 0.000 0.500
0.000 0.500 0.000
0.500 0.000 0.000
0.500 0.500 0.500
0.250 0.250 0.250
0.250 0.250 0.750
0.250 0.750 0.250
0.250 0.750 0.750
0.750 0.250 0.250
0.750 0.250 0.750
0.750 0.750 0.250
0.750 0.750 0.750